## K4Tb3NdTe8 (PBE)

Data for K4Tb3NdTe8 after structural relaxation.

Summary:
- Raw total energy: -4.42 eV per atom

Cell: 9.0757 9.0757 24.7519 Å, 90.00 90.00 120.00°
With the nearest neighbours (Å) after each atom.
Space group R-3m (No. 166, hexagonal axes)
Unique sites:
K  0.0000  0.0000  0.0000  6 Te 3.51
K  0.0000  0.5000  0.0000  6 Te 3.56
Tb  0.0000  0.5000  0.5000  6 Te 3.13
Nd  0.0000  0.0000  0.5000  6 Te 3.18
Te  0.0000  0.0000  0.2362  3 Tb 3.13
Te  0.0057  0.5029  0.7629  2 Tb 3.13, 1 Nd 3.18

## LuTi2V (PBE)

Data for LuTi2V after structural relaxation.

Summary:
- Raw total energy: -7.22 eV per atom
- ΔH_f (0 K): 0.53 eV per formula unit

Cell: 3.3158 3.3158 6.8873 Å, 90.00 90.00 90.00°
With the nearest neighbours (Å) after each atom.
Space group P4/mmm (No. 123)
Unique sites:
Lu  0.0000  0.0000  0.0000  8 Ti 3.16, 4 Lu 3.32, 2 V 3.44
Ti  0.5000  0.5000  0.3073  1 Ti 2.65, 4 V 2.69
V  0.0000  0.0000  0.5000  8 Ti 2.69

## CsLi2GaAu (PBE)

Data for CsLi2GaAu after structural relaxation.

Summary:
- Raw total energy: -2.35 eV per atom
- ΔH_f (0 K): -0.77 eV per formula unit

Cell: 5.4027 5.4027 4.9071 Å, 90.00 90.00 90.00°
With the nearest neighbours (Å) after each atom.
Space group P4/mmm (No. 123)
Unique sites:
Cs  0.0000  0.0000  0.0000  8 Li 3.65, 4 Ga 3.82
Li  0.0000  0.5000  0.5000  2 Au 2.70
Ga  0.5000  0.5000  0.0000  2 Au 2.45
Au  0.5000  0.5000  0.5000  2 Ga 2.45, 4 Li 2.70

## TaNbGaI2 (PBE)

Data for TaNbGaI2 after structural relaxation.

Summary:
- Raw total energy: -4.32 eV per atom

Cell: 5.4258 5.4258 5.1855 Å, 90.00 90.00 90.00°
With the nearest neighbours (Å) after each atom.
Space group P4/mmm (No. 123)
Unique sites:
Ta  0.0000  0.0000  0.0000  2 Ga 2.59, 4 I 2.71
Nb  0.5000  0.5000  0.5000  8 I 3.75, 4 Ga 3.84
Ga  0.0000  0.0000  0.5000  2 Ta 2.59
I  0.0000  0.5000  0.0000  2 Ta 2.71

## Sc3PN (PBE)

Data for Sc3PN after structural relaxation.

Summary:
- Raw total energy: -7.94 eV per atom

Cell: 3.4726 10.9224 8.3790 Å, 90.00 90.00 90.00°
With the nearest neighbours (Å) after each atom.
Space group Cmcm (No. 63)
Unique sites:
Sc  0.0000  0.0619  0.2500  2 N 2.20
Sc  0.0000  0.3710  0.0524  2 N 2.28
P  0.0000  0.2531  0.7500  8 Sc 2.66-2.84
N  0.0000  0.0000  0.0000  6 Sc 2.20-2.28

## DyY4Ru5 (PBE)

Data for DyY4Ru5 after structural relaxation.

Summary:
- Raw total energy: -7.97 eV per atom
- ΔH_f (0 K): -2.83 eV per formula unit

Cell: 3.4124 3.4124 17.0154 Å, 90.00 90.00 90.00°
With the nearest neighbours (Å) after each atom.
Space group P4/mmm (No. 123)
Unique sites:
Dy  0.0000  0.0000  0.0000  8 Ru 2.94
Y  0.0000  0.0000  0.1996  8 Ru 2.95-2.97
Y  0.0000  0.0000  0.3998  8 Ru 2.95
Ru  0.5000  0.5000  0.0983  4 Dy 2.94, 4 Y 2.97
Ru  0.5000  0.5000  0.2996  8 Y 2.95
Ru  0.5000  0.5000  0.5000  8 Y 2.95

## Pa4Sb2AsP (PBE)

Data for Pa4Sb2AsP after structural relaxation.

Summary:
- Raw total energy: -7.85 eV per atom

Cell: 7.1661 4.1352 7.4288 Å, 90.00 108.72 90.00°
With the nearest neighbours (Å) after each atom.
Space group P2/m (No. 10)
Unique sites:
Pa  0.2302  0.0000  0.2151  2 P 2.80, 1 As 2.88, 1 Sb 3.07
Pa  0.2516  0.5000  0.7802  1 P 2.79, 2 As 2.87, 2 Sb 3.07
Sb  0.0000  0.0000  0.5000  6 Pa 3.07
Sb  0.5000  0.5000  0.5000  6 Pa 3.14
As  0.5000  0.0000  0.0000  6 Pa 2.87-2.88
P  0.0000  0.5000  0.0000  6 Pa 2.79-2.80

## CsPb2I5 (PBE)

Data for CsPb2I5 after structural relaxation.

Summary:
- Raw total energy: -2.85 eV per atom
- E above lowest polymorph: 0 meV/atom

Cell: 9.1387 9.1387 16.8391 Å, 90.00 90.00 90.00°
With the nearest neighbours (Å) after each atom.
Space group I4/mcm (No. 140)
Unique sites:
Cs  0.0000  0.0000  0.2500  10 I 4.03-4.21
Pb  0.1675  0.3325  0.0000  4 I 3.15-3.40
I  0.0000  0.0000  0.0000  4 Pb 3.40
I  0.1536  0.3464  0.3729  1 Pb 3.15

> Which value of raw total energy does entry 8 give?

-2.85 eV per atom

Please write out number 5 again, unchanged.
## Sc3PN (PBE)

Data for Sc3PN after structural relaxation.

Summary:
- Raw total energy: -7.94 eV per atom

Cell: 3.4726 10.9224 8.3790 Å, 90.00 90.00 90.00°
With the nearest neighbours (Å) after each atom.
Space group Cmcm (No. 63)
Unique sites:
Sc  0.0000  0.0619  0.2500  2 N 2.20
Sc  0.0000  0.3710  0.0524  2 N 2.28
P  0.0000  0.2531  0.7500  8 Sc 2.66-2.84
N  0.0000  0.0000  0.0000  6 Sc 2.20-2.28

> Which formula does entry 8 have?

CsPb2I5

> What is the raw total energy in the second record?

-7.22 eV per atom